1.
Here is a relaxed CdSbIr crystal from Alexandria via LeMat-Bulk. Energies are from PBEsol.

Output
calculated total energy	-5.03	eV/atom
uncorrected formation energy	159	meV per atom

Cell lengths 3.533, 3.533, 5.241 Å; angles 109.70, 109.70, 90.00 degrees
Fractional coordinates of all 3 atoms:
Cd 0.004 0.004 0.008
Sb 0.307 0.307 0.614
Ir 0.689 0.689 0.378

2.
Here is a relaxed SrCdSb2Ir crystal from Alexandria via LeMat-Bulk. Energies are from PBEsol.

Output
calculated total energy	-3.84	eV/atom
uncorrected formation energy	559	meV per atom

Cell lengths 5.013, 5.364, 5.364 Å; angles 90.00, 90.00, 90.00 degrees
Fractional coordinates of all 5 atoms:
Sr 0.500 0.500 0.500
Ir 0.500 0.000 0.000
Sb 0.000 0.500 0.000
Sb 0.000 0.000 0.500
Cd 0.000 0.000 0.000

3.
Here is a relaxed Ta2CdSbIr crystal from Alexandria via LeMat-Bulk. Energies are from PBEsol.

Output
calculated total energy	-5.66	eV/atom
uncorrected formation energy	2473	meV per atom

Cell lengths 4.904, 4.904, 4.964 Å; angles 90.00, 90.00, 90.00 degrees
Fractional coordinates of all 5 atoms:
Ta 0.500 0.000 0.000
Ta 0.000 0.500 0.000
Ir 0.500 0.500 0.500
Sb 0.000 0.000 0.500
Cd 0.000 0.000 0.000

4.
Here is a relaxed ScCdIr3 crystal from Alexandria via LeMat-Bulk. Energies are from PBEsol.

Output
calculated total energy	-5.75	eV/atom
DFT formation energy	1.7053	eV per atom

Cell lengths 4.741, 4.741, 4.741 Å; angles 90.00, 90.00, 90.00 degrees
Fractional coordinates of all 5 atoms:
Cd 0.000 0.000 0.000
Sc 0.500 0.500 0.500
Ir 0.000 0.000 0.500
Ir 0.500 0.000 0.000
Ir 0.000 0.500 0.000

5.
Here is a relaxed Sc2CdIr crystal from Alexandria via LeMat-Bulk. Energies are from PBEsol.

Output
calculated total energy	-6.65	eV/atom
DFT formation energy	-0.5948	eV per atom

Cell lengths 3.237, 4.739, 4.739 Å; angles 90.08, 90.00, 90.00 degrees
Fractional coordinates of all 4 atoms:
Sc 0.000 0.000 0.500
Sc 0.000 0.500 0.000
Cd 0.500 0.000 0.000
Ir 0.500 0.500 0.500

6.
Here is a relaxed Sc2CdIr crystal from Alexandria via LeMat-Bulk. Energies are from PBEsol.

Output
calculated total energy	-6.75	eV/atom
DFT formation energy	-0.6876	eV per atom

Cell lengths 3.161, 3.268, 7.235 Å; angles 90.00, 90.00, 90.00 degrees
Fractional coordinates of all 4 atoms:
Sc 0.000 0.000 0.781
Sc 0.000 0.000 0.219
Ir 0.500 0.500 0.000
Cd 0.500 0.500 0.500

7.
Here is a relaxed CdIr2Se crystal from Alexandria via LeMat-Bulk. Energies are from PBEsol.

Output
calculated total energy	-5.68	eV/atom
offset from the most stable computed form	28	meV/atom
uncorrected formation energy	497	meV per atom

Cell lengths 4.160, 4.703, 4.160 Å; angles 63.75, 90.00, 116.25 degrees
Fractional coordinates of all 4 atoms:
Ir 0.250 0.500 0.250
Ir 0.750 0.500 0.750
Se 0.500 0.000 0.500
Cd 0.000 0.000 0.000

8.
Here is a relaxed CdIr2Se crystal from Alexandria via LeMat-Bulk. Energies are from PBEsol.

Output
calculated total energy	-5.69	eV/atom
offset from the most stable computed form	10	meV/atom
uncorrected formation energy	479	meV per atom

Cell lengths 2.841, 4.691, 4.867 Å; angles 90.00, 90.00, 90.00 degrees
Fractional coordinates of all 4 atoms:
Ir 0.000 0.000 0.000
Ir 0.500 0.000 0.500
Cd 0.000 0.500 0.500
Se 0.500 0.500 0.000

9.
Here is a relaxed CdIr2Se crystal from Alexandria via LeMat-Bulk. Energies are from PBEsol.

Output
calculated total energy	-5.68	eV/atom
offset from the most stable computed form	28	meV/atom
uncorrected formation energy	497	meV per atom

Cell lengths 2.827, 4.902, 5.466 Å; angles 116.66, 105.01, 89.95 degrees
Fractional coordinates of all 4 atoms:
Cd 0.500 0.000 0.000
Ir 0.000 0.500 0.500
Ir 0.500 0.000 0.500
Se 0.000 0.500 0.000

10.
Here is a relaxed CdIr2Se crystal from Alexandria via LeMat-Bulk. Energies are from PBEsol.

Output
calculated total energy	-5.70	eV/atom
offset from the most stable computed form	0	meV/atom
uncorrected formation energy	469	meV per atom

Cell lengths 3.064, 4.559, 4.559 Å; angles 90.00, 90.00, 90.00 degrees
Fractional coordinates of all 4 atoms:
Cd 0.500 0.000 0.000
Ir 0.000 0.000 0.500
Ir 0.000 0.500 0.000
Se 0.500 0.500 0.500

11.
Here is a relaxed CdIr2Se crystal from Alexandria via LeMat-Bulk. Energies are from PBEsol.

Output
calculated total energy	-5.62	eV/atom
offset from the most stable computed form	81	meV/atom
uncorrected formation energy	550	meV per atom

Cell lengths 5.537, 5.731, 5.731 Å; angles 76.50, 61.11, 61.11 degrees
Fractional coordinates of all 8 atoms:
Cd 0.000 0.000 0.000
Cd 0.750 0.500 0.500
Se 0.250 0.500 0.500
Se 0.500 0.000 0.000
Ir 0.375 0.448 0.052
Ir 0.875 0.552 0.948
Ir 0.573 0.052 0.552
Ir 0.177 0.948 0.448

12.
Here is a relaxed CdSiIr2 crystal from Alexandria via LeMat-Bulk. Energies are from PBEsol.

Output
calculated total energy	-6.71	eV/atom
uncorrected formation energy	-59	meV per atom

Cell lengths 2.853, 4.827, 5.194 Å; angles 117.69, 105.94, 90.00 degrees
Fractional coordinates of all 4 atoms:
Cd 0.500 0.000 0.000
Ir 0.283 0.283 0.567
Ir 0.717 0.717 0.433
Si 0.000 0.500 0.000

13.
Here is a relaxed Cd2SiIr crystal from Alexandria via LeMat-Bulk. Energies are from PBEsol.

Output
calculated total energy	-4.60	eV/atom
uncorrected formation energy	-107	meV per atom

Cell lengths 2.867, 4.411, 7.049 Å; angles 72.18, 78.27, 71.04 degrees
Fractional coordinates of all 4 atoms:
Si 0.185 0.255 0.375
Cd 0.028 0.926 0.018
Cd 0.822 0.625 0.731
Ir 0.465 0.694 0.376

14.
Here is a relaxed Cd2SiIr crystal from Alexandria via LeMat-Bulk. Energies are from PBEsol.

Output
calculated total energy	-4.58	eV/atom
uncorrected formation energy	-93	meV per atom

Cell lengths 2.875, 3.411, 7.057 Å; angles 90.00, 90.00, 90.00 degrees
Fractional coordinates of all 4 atoms:
Ir 0.000 0.000 0.555
Cd 0.000 0.000 0.978
Cd 0.500 0.500 0.274
Si 0.500 0.500 0.693

15.
Here is a relaxed CdSi2Ir crystal from Alexandria via LeMat-Bulk. Energies are from PBEsol.

Output
calculated total energy	-5.61	eV/atom
uncorrected formation energy	15	meV per atom

Cell lengths 3.270, 4.218, 4.776 Å; angles 90.00, 90.05, 90.00 degrees
Fractional coordinates of all 4 atoms:
Ir 0.000 0.500 0.500
Si 0.000 0.000 0.245
Si 0.000 0.000 0.755
Cd 0.500 0.500 0.000

16.
Here is a relaxed CdSiIr2 crystal from Alexandria via LeMat-Bulk. Energies are from PBEsol.

Output
calculated total energy	-6.65	eV/atom
uncorrected formation energy	-2	meV per atom

Cell lengths 2.867, 4.937, 4.815 Å; angles 110.68, 90.00, 106.88 degrees
Fractional coordinates of all 4 atoms:
Si 0.485 0.971 0.371
Ir 0.772 0.545 0.345
Ir 0.006 0.013 0.984
Cd 0.236 0.472 0.800

17.
Here is a relaxed CdSiIr2 crystal from Alexandria via LeMat-Bulk. Energies are from PBEsol.

Output
calculated total energy	-7.04	eV/atom
uncorrected formation energy	-389	meV per atom

Cell lengths 2.884, 2.884, 7.016 Å; angles 90.00, 90.00, 90.00 degrees
Fractional coordinates of all 4 atoms:
Cd 0.500 0.500 0.500
Ir 0.000 0.000 0.202
Ir 0.000 0.000 0.798
Si 0.500 0.500 0.000

18.
Here is a relaxed CdSiIr2 crystal from Alexandria via LeMat-Bulk. Energies are from PBEsol.

Output
calculated total energy	-6.60	eV/atom
uncorrected formation energy	47	meV per atom

Cell lengths 5.359, 5.591, 5.591 Å; angles 76.72, 61.36, 61.36 degrees
Fractional coordinates of all 8 atoms:
Si 0.250 0.500 0.500
Si 0.500 0.000 0.000
Ir 0.875 0.943 0.557
Ir 0.182 0.443 0.943
Ir 0.375 0.057 0.443
Ir 0.568 0.557 0.057
Cd 0.000 0.000 0.000
Cd 0.750 0.500 0.500

19.
Here is a relaxed CdSiIr2 crystal from Alexandria via LeMat-Bulk. Energies are from PBEsol.

Output
calculated total energy	-6.73	eV/atom
uncorrected formation energy	-86	meV per atom

Cell lengths 2.836, 2.836, 8.655 Å; angles 90.00, 90.00, 118.88 degrees
Fractional coordinates of all 4 atoms:
Cd 0.500 0.500 0.000
Si 0.500 0.500 0.500
Ir 0.000 0.000 0.712
Ir 0.000 0.000 0.288

20.
Here is a relaxed Sm4CdIr crystal from Alexandria via LeMat-Bulk. Energies are from PBEsol.

Output
calculated total energy	-5.70	eV/atom
DFT formation energy	-0.4657	eV per atom

Cell lengths 9.651, 9.651, 9.651 Å; angles 60.00, 60.00, 60.00 degrees
Fractional coordinates of all 24 atoms:
Cd 0.420 0.420 0.739
Cd 0.420 0.739 0.420
Cd 0.420 0.420 0.420
Cd 0.739 0.420 0.420
Sm 0.061 0.439 0.061
Sm 0.191 0.809 0.191
Sm 0.048 0.651 0.651
Sm 0.061 0.439 0.439
Sm 0.809 0.191 0.809
Sm 0.439 0.061 0.061
Sm 0.809 0.809 0.191
Sm 0.439 0.439 0.061
Sm 0.651 0.651 0.048
Sm 0.191 0.809 0.809
Sm 0.651 0.048 0.651
Sm 0.651 0.651 0.651
Sm 0.809 0.191 0.191
Sm 0.191 0.191 0.809
Sm 0.061 0.061 0.439
Sm 0.439 0.061 0.439
Ir 0.858 0.426 0.858
Ir 0.426 0.858 0.858
Ir 0.858 0.858 0.858
Ir 0.858 0.858 0.426

no.,magnetization (Bohr magnetons per cell)
1,0.00
2,0.00
3,0.00
4,0.00
5,0.00
6,0.00
7,0.00
8,0.00
9,0.00
10,0.00
11,0.00
12,0.00
13,0.00
14,0.00
15,0.00
16,0.00
17,0.00
18,0.00
19,0.00
20,0.00